A relaxed EuErGe2 crystal, computed with PBE.

Cell lengths 3.8150, 3.8150, 6.6520 Å; angles 90.00, 90.00, 90.00 degrees
Atoms (fractional coordinates):
1 Eu 0.0000 0.0000 0.0000
2 Er 0.0000 0.0000 0.5000
3 Ge 0.5000 0.5000 0.2976
4 Ge 0.5000 0.5000 0.7024

Relative energy among the computed polymorphs   0.000 eV per atom
E   -6.64 eV/atom
ΔE_f   -0.623 eV/atom
Volume   97 Å³/cell
SG   P4/mmm
Density of states at the Fermi level   2.216 states/eV/cell



A relaxed EuErHgGe crystal, computed with PBE.

Cell lengths 7.4096, 7.4096, 7.4096 Å; angles 90.00, 90.00, 90.00 degrees
Atoms (fractional coordinates):
1 Eu 0.0000 0.0000 0.0000
2 Eu 0.0000 0.5000 0.5000
3 Eu 0.5000 0.0000 0.5000
4 Eu 0.5000 0.5000 0.0000
5 Er 0.0000 0.0000 0.5000
6 Er 0.0000 0.5000 0.0000
7 Er 0.5000 0.0000 0.0000
8 Er 0.5000 0.5000 0.5000
9 Hg 0.2500 0.2500 0.2500
10 Hg 0.2500 0.7500 0.7500
11 Hg 0.7500 0.2500 0.7500
12 Hg 0.7500 0.7500 0.2500
13 Ge 0.2500 0.2500 0.7500
14 Ge 0.2500 0.7500 0.2500
15 Ge 0.7500 0.2500 0.2500
16 Ge 0.7500 0.7500 0.7500

E   -5.47 eV/atom
ΔE_f   -0.532 eV/atom
Volume   407 Å³/cell
SG   F-43m
Density of states at the Fermi level   12.719 states/eV/cell